Material: Li3AsW
Method: DFT, PBE
State: relaxed

```
Li3AsW
1.0
4.946 0.000 0.000
0.000 4.946 0.000
0.000 0.000 4.946
Li As W
3 1 1
Cartesian
0.000 0.000 2.473 Li
0.000 2.473 0.000 Li
2.473 0.000 0.000 Li
2.473 2.473 2.473 As
0.000 0.000 0.000 W
```

Values from the calculation:
The polymorph energy (0 for the lowest one) comes out at 415 meV per atom. The space group is Pm-3m, No. 221. The formation energy comes out at 7.33 eV per formula unit.